(1)
Computed, not measured: a geometry-optimized Mo2WC structure at the PBE level of DFT.

Cell and atoms, written as CIF:
```
data_Mo2WC
_chemical_formula_sum 'Mo4 W2 C2'
_cell_length_a 2.959
_cell_length_b 3.056
_cell_length_c 11.838
_cell_angle_alpha 90.00
_cell_angle_beta 90.00
_cell_angle_gamma 90.00
_symmetry_space_group_name_H-M 'A m m 2'
_symmetry_Int_Tables_number 38
_symmetry_space_group_name_Hall 'A 2 -2'
loop_
_atom_site_label
_atom_site_type_symbol
_atom_site_fract_x
_atom_site_fract_y
_atom_site_fract_z
_atom_site_occupancy
Mo1 Mo 0.000 0.000 0.000 1
Mo2 Mo 0.500 0.000 0.350 1
W1 W 0.000 0.000 0.700 1
C1 C 0.500 0.000 0.557 1
```

Calculated values
Its calculated total energy is -10.831 eV/atom.



(2)
Computed, not measured: a geometry-optimized MoW2C structure at the PBE level of DFT.

Cell and atoms, written as CIF:
```
data_MoW2C
_chemical_formula_sum 'Mo1 W2 C1'
_cell_length_a 3.093
_cell_length_b 3.029
_cell_length_c 6.187
_cell_angle_alpha 90.00
_cell_angle_beta 103.85
_cell_angle_gamma 90.00
_symmetry_space_group_name_H-M 'P 1 2/m 1'
_symmetry_Int_Tables_number 10
_symmetry_space_group_name_Hall '-P 2y'
loop_
_atom_site_label
_atom_site_type_symbol
_atom_site_fract_x
_atom_site_fract_y
_atom_site_fract_z
_atom_site_occupancy
Mo1 Mo 0.000 0.000 0.000 1
W1 W 0.377 0.500 0.711 1
C1 C 0.500 0.000 0.500 1
```

Calculated values
Its calculated total energy is -11.130 eV/atom.



(3)
Computed, not measured: a geometry-optimized MoW2C structure at the PBE level of DFT.

Cell and atoms, written as CIF:
```
data_MoW2C
_chemical_formula_sum 'Mo2 W4 C2'
_cell_length_a 9.077
_cell_length_b 2.970
_cell_length_c 4.847
_cell_angle_alpha 90.00
_cell_angle_beta 121.68
_cell_angle_gamma 90.00
_symmetry_space_group_name_H-M 'C 1 2/m 1'
_symmetry_Int_Tables_number 12
_symmetry_space_group_name_Hall '-C 2y'
loop_
_atom_site_label
_atom_site_type_symbol
_atom_site_fract_x
_atom_site_fract_y
_atom_site_fract_z
_atom_site_occupancy
Mo1 Mo 0.000 0.000 0.000 1
W1 W 0.192 0.000 0.692 1
C1 C 0.000 0.500 0.500 1
```

Calculated values
Its calculated total energy is -11.046 eV/atom.



(4)
Computed, not measured: a geometry-optimized MoWC2 structure at the PBE level of DFT.

Cell and atoms, written as CIF:
```
data_MoWC2
_chemical_formula_sum 'Mo3 W3 C6'
_cell_length_a 3.1082
_cell_length_b 3.1082
_cell_length_c 23.3136
_cell_angle_alpha 90.00
_cell_angle_beta 90.00
_cell_angle_gamma 120.00
_symmetry_space_group_name_H-M 'R 3 m'
_symmetry_Int_Tables_number 160
_symmetry_space_group_name_Hall 'R 3 -2"'
loop_
_atom_site_label
_atom_site_type_symbol
_atom_site_fract_x
_atom_site_fract_y
_atom_site_fract_z
_atom_site_occupancy
Mo1 Mo 0.0000 0.0000 0.0000 1
W1 W 0.0000 0.0000 0.7696 1
C1 C 0.0000 0.0000 0.2951 1
C2 C 0.0000 0.0000 0.4743 1
```

Calculated values
Its calculated total energy is -9.505 eV/atom.